(1)
The following is a PBE-GGA calculation of a geometry-optimized LaNdPI structure, from OQMD.

a b c (Å): 4.2385 4.2385 15.5363
angles (deg): 90.00 90.00 120.00
With the nearest neighbours (Å) after each atom.
Fractional coordinates of all 8 atoms:
La 0.6667 0.3333 0.4003  3 P 2.90
La 0.3333 0.6667 0.5997  3 P 2.90
P 0.0000 0.0000 0.0000  6 Nd 2.85
P 0.0000 0.0000 0.5000  6 La 2.90
Nd 0.6667 0.3333 0.0939  3 P 2.85
Nd 0.3333 0.6667 0.9061  3 P 2.85
I 0.6667 0.3333 0.7560  3 Nd 3.38, 3 La 3.45
I 0.3333 0.6667 0.2440  3 Nd 3.38, 3 La 3.45



(2)
The following is a PBE-GGA calculation of a geometry-optimized LaNdPI structure, from OQMD.

a b c (Å): 8.1281 8.1281 8.1281
angles (deg): 30.46 30.46 30.46
With the nearest neighbours (Å) after each atom.
Fractional coordinates of all 4 atoms:
I 0.9984 0.9984 0.9984  3 Nd 3.42, 3 La 3.47
P 0.5017 0.5017 0.5017  3 Nd 2.85, 3 La 2.89
Nd 0.2299 0.2299 0.2299  3 P 2.85
La 0.7700 0.7700 0.7700  3 P 2.89



Most stable: (1)



(1)
The following is a PBE-GGA calculation of a geometry-optimized Lu2I structure, from OQMD.

a b c (Å): 10.3141 10.3141 10.3141
angles (deg): 60.00 60.00 60.00
With the nearest neighbours (Å) after each atom.
Fractional coordinates of all 6 atoms:
I 0.5000 0.5000 0.5000  4 Lu 3.16
I 0.2500 0.2500 0.2500  4 Lu 3.16
Lu 0.8750 0.3750 0.3750  2 I 3.16
Lu 0.3750 0.8750 0.3750  2 I 3.16
Lu 0.3750 0.3750 0.8750  2 I 3.16
Lu 0.3750 0.3750 0.3750  2 I 3.16



(2)
The following is a PBE-GGA calculation of a geometry-optimized Lu2I structure, from OQMD.

a b c (Å): 6.5677 6.5677 6.5677
angles (deg): 60.00 60.00 60.00
With the nearest neighbours (Å) after each atom.
Fractional coordinates of all 6 atoms:
Lu 0.6250 0.6250 0.6250  6 Lu 3.28
Lu 0.6250 0.6250 0.1250  6 Lu 3.28
Lu 0.6250 0.1250 0.6250  6 Lu 3.28
Lu 0.1250 0.6250 0.6250  6 Lu 3.28
I 0.0000 0.0000 0.0000  12 Lu 3.85, 4 I 4.02
I 0.2500 0.2500 0.2500  12 Lu 3.85, 4 I 4.02



Most stable: (2)



(1)
The following is a PBE-GGA calculation of a geometry-optimized TeMoSe3I structure, from OQMD.

a b c (Å): 6.5750 8.1107 8.3886
angles (deg): 115.24 104.29 98.63
With the nearest neighbours (Å) after each atom.
Fractional coordinates of all 12 atoms:
Se 0.1056 0.3031 0.1581  1 Se 2.46, 2 Mo 2.57
Se 0.4808 0.7956 0.0602  1 Te 2.56, 2 Mo 2.67
Se 0.8944 0.6969 0.8419  1 Se 2.46, 2 Mo 2.57
Se 0.9618 0.1156 0.8132  1 Se 2.46, 2 Mo 2.57
Se 0.0382 0.8844 0.1868  1 Se 2.46, 2 Mo 2.57
Se 0.5192 0.2044 0.9398  1 Te 2.56, 2 Mo 2.67
Te 0.3763 0.8505 0.6939  1 Se 2.56, 2 Mo 2.86
Te 0.6237 0.1495 0.3061  1 Se 2.56, 2 Mo 2.86
Mo 0.7820 0.9998 0.0003  6 Se 2.57-2.67, 2 Te 2.86, 1 Mo 2.87
Mo 0.2180 0.0002 0.9997  6 Se 2.57-2.67, 2 Te 2.86, 1 Mo 2.87
I 0.7450 0.6036 0.4242  1 Se 3.10, 1 Te 3.29
I 0.2550 0.3964 0.5758  1 Se 3.10, 1 Te 3.29



(2)
The following is a PBE-GGA calculation of a geometry-optimized TeMoSe3I structure, from OQMD.

a b c (Å): 6.5966 8.2341 8.6337
angles (deg): 104.98 112.43 104.41
With the nearest neighbours (Å) after each atom.
Fractional coordinates of all 12 atoms:
Se 0.8567 0.7104 0.8961  1 Se 2.50, 2 Mo 2.56-2.57
Se 0.5076 0.8270 0.1226  1 Te 2.56, 2 Mo 2.72
Se 0.4924 0.1730 0.8774  1 Te 2.56, 2 Mo 2.72
Se 0.1433 0.2896 0.1039  1 Se 2.50, 2 Mo 2.56-2.57
Se 0.1770 0.1005 0.2908  1 Se 2.50, 2 Mo 2.57
Se 0.8230 0.8995 0.7092  1 Se 2.50, 2 Mo 2.57
I 0.1220 0.7725 0.3867  1 Se 3.00, 1 Te 3.24
I 0.8780 0.2275 0.6133  1 Se 3.00, 1 Te 3.24
Te 0.3087 0.7392 0.7781  1 Se 2.56, 2 Mo 2.83
Te 0.6913 0.2608 0.2219  1 Se 2.56, 2 Mo 2.83
Mo 0.7825 0.0007 0.0004  6 Se 2.56-2.72, 2 Te 2.83
Mo 0.2175 0.9993 0.9996  6 Se 2.56-2.72, 2 Te 2.83



Most stable: (1)



(1)
The following is a PBE-GGA calculation of a geometry-optimized NdSmI3N structure, from OQMD.

a b c (Å): 10.4766 10.4766 12.8806
angles (deg): 125.66 125.66 22.59
With the nearest neighbours (Å) after each atom.
Fractional coordinates of all 12 atoms:
Nd 0.1316 0.1316 0.2737  2 N 2.45
Nd 0.8684 0.8684 0.7263  2 N 2.45
I 0.0350 0.0350 0.7493  2 Sm 3.17, 1 Nd 3.26
I 0.3313 0.3313 0.4925  3 Nd 3.32-3.34
I 0.2141 0.2141 0.1224  2 Sm 3.18, 1 Nd 3.26
I 0.7859 0.7859 0.8776  2 Sm 3.18, 1 Nd 3.26
I 0.6687 0.6687 0.5075  3 Nd 3.32-3.34
I 0.9650 0.9650 0.2507  2 Sm 3.17, 1 Nd 3.26
Sm 0.4320 0.4320 0.0364  2 N 2.31-2.32
Sm 0.5680 0.5680 0.9636  2 N 2.31-2.32
N 0.5710 0.5710 0.1463  2 Sm 2.31-2.32, 2 Nd 2.45
N 0.4290 0.4290 0.8537  2 Sm 2.31-2.32, 2 Nd 2.45



(2)
The following is a PBE-GGA calculation of a geometry-optimized NdSmI3N structure, from OQMD.

a b c (Å): 10.4181 10.4181 12.8289
angles (deg): 125.65 125.65 22.64
With the nearest neighbours (Å) after each atom.
Fractional coordinates of all 12 atoms:
Nd 0.4306 0.4306 0.5370  2 N 2.35
Nd 0.5694 0.5694 0.4630  2 N 2.35
I 0.0332 0.0332 0.2433  2 Nd 3.19, 1 Sm 3.24
I 0.7824 0.7824 0.3728  2 Nd 3.19, 1 Sm 3.25
I 0.3303 0.3303 0.9931  3 Sm 3.29-3.31
I 0.6697 0.6697 0.0069  3 Sm 3.29-3.31
I 0.2176 0.2176 0.6272  2 Nd 3.19, 1 Sm 3.25
I 0.9668 0.9668 0.7567  2 Nd 3.19, 1 Sm 3.24
N 0.4274 0.4274 0.3504  2 Nd 2.35, 2 Sm 2.43
N 0.5726 0.5726 0.6496  2 Nd 2.35, 2 Sm 2.43
Sm 0.8685 0.8685 0.2260  2 N 2.43
Sm 0.1315 0.1315 0.7740  2 N 2.43



Most stable: (1)



(1)
The following is a PBE-GGA calculation of a geometry-optimized NdI3O9 structure, from OQMD.

a b c (Å): 8.7709 5.8017 15.0331
angles (deg): 90.00 97.05 90.00
With the nearest neighbours (Å) after each atom.
Fractional coordinates of all 52 atoms:
O 0.8521 0.4433 0.7887  1 I 1.85
O 0.0857 0.1965 0.7429  1 I 1.83
O 0.7853 0.4661 0.3749  1 I 1.85
O 0.2853 0.0339 0.8749  1 I 1.85
O 0.7626 0.4898 0.1312  1 I 1.86
O 0.0713 0.1091 0.1734  1 I 1.85
O 0.6437 0.5906 0.5076  1 I 1.87
O 0.5539 0.4058 0.8842  1 I 1.84
O 0.1437 0.9094 0.0076  1 I 1.87
O 0.1479 0.5567 0.2113  1 I 1.85
O 0.1355 0.4228 0.0443  1 I 1.85
O 0.5713 0.3909 0.6734  1 I 1.85
O 0.2374 0.5102 0.8688  1 I 1.86
O 0.9287 0.8909 0.8266  1 I 1.85
O 0.8563 0.0906 0.9924  1 I 1.87
O 0.4287 0.6091 0.3266  1 I 1.85
O 0.6355 0.0772 0.5444  1 I 1.85
O 0.9143 0.8035 0.2571  1 I 1.83
O 0.3521 0.0567 0.2887  1 I 1.85
O 0.9461 0.9058 0.6158  1 I 1.84
O 0.7374 0.9898 0.3688  1 I 1.86
O 0.3563 0.4094 0.4924  1 I 1.87
O 0.7147 0.9661 0.1251  1 I 1.85
O 0.5857 0.3035 0.2429  1 I 1.83
O 0.2147 0.5339 0.6251  1 I 1.85
O 0.9137 0.4058 0.5533  1 I 1.89
O 0.0539 0.0942 0.3842  1 I 1.84
O 0.3645 0.9228 0.4557  1 I 1.85
O 0.2626 0.0102 0.6312  1 I 1.86
O 0.8645 0.5772 0.9556  1 I 1.85
O 0.0863 0.5942 0.4467  1 I 1.89
O 0.5863 0.9058 0.9467  1 I 1.89
O 0.4143 0.6965 0.7571  1 I 1.83
O 0.4137 0.0942 0.0533  1 I 1.89
O 0.4461 0.5942 0.1158  1 I 1.84
O 0.6479 0.9433 0.7113  1 I 1.85
Nd 0.5379 0.2615 0.4014  8 O 2.38-2.59
Nd 0.9621 0.7615 0.0986  8 O 2.38-2.59
Nd 0.4621 0.7385 0.5986  8 O 2.38-2.59
Nd 0.0379 0.2385 0.9014  8 O 2.38-2.59
I 0.8395 0.6460 0.4751  3 O 1.85-1.89
I 0.7268 0.1889 0.6533  3 O 1.85
I 0.3839 0.4054 0.7989  3 O 1.83-1.86
I 0.6161 0.5946 0.2011  3 O 1.83-1.86
I 0.2732 0.8111 0.3467  3 O 1.85
I 0.7732 0.6889 0.8467  3 O 1.85
I 0.3395 0.8540 0.9751  3 O 1.85-1.89
I 0.6605 0.1460 0.0249  3 O 1.85-1.89
I 0.1605 0.3540 0.5249  3 O 1.85-1.89
I 0.8839 0.0946 0.2989  3 O 1.83-1.86
I 0.2268 0.3111 0.1533  3 O 1.85
I 0.1161 0.9054 0.7011  3 O 1.83-1.86



(2)
The following is a PBE-GGA calculation of a geometry-optimized NdI3O9 structure, from OQMD.

a b c (Å): 7.4021 7.4021 7.4021
angles (deg): 84.05 84.05 84.05
With the nearest neighbours (Å) after each atom.
Fractional coordinates of all 26 atoms:
O 0.3323 0.4284 0.0824  1 I 1.85
O 0.6970 0.9646 0.0884  1 I 1.82
O 0.9176 0.6677 0.5716  1 I 1.85
O 0.5834 0.2564 0.7763  1 I 1.84
O 0.2564 0.7763 0.5834  1 I 1.84
O 0.5716 0.9176 0.6677  1 I 1.85
O 0.0824 0.3323 0.4284  1 I 1.85
O 0.0354 0.9116 0.3030  1 I 1.82
O 0.0884 0.6970 0.9646  1 I 1.82
O 0.3030 0.0354 0.9116  1 I 1.82
O 0.2237 0.4166 0.7436  1 I 1.84
O 0.9646 0.0884 0.6970  1 I 1.82
O 0.7763 0.5834 0.2564  1 I 1.84
O 0.4166 0.7436 0.2237  1 I 1.84
O 0.7436 0.2237 0.4166  1 I 1.84
O 0.6677 0.5716 0.9176  1 I 1.85
O 0.4284 0.0824 0.3323  1 I 1.85
O 0.9116 0.3030 0.0354  1 I 1.82
Nd 0.1683 0.1683 0.1683  6 O 2.32-2.38
Nd 0.8317 0.8317 0.8317  6 O 2.32-2.38
I 0.8733 0.3056 0.5862  3 O 1.82-1.85
I 0.4138 0.1267 0.6944  3 O 1.82-1.85
I 0.5862 0.8733 0.3056  3 O 1.82-1.85
I 0.6944 0.4138 0.1267  3 O 1.82-1.85
I 0.1267 0.6944 0.4138  3 O 1.82-1.85
I 0.3056 0.5862 0.8733  3 O 1.82-1.85



Most stable: (1)



(1)
The following is a PBE-GGA calculation of a geometry-optimized PaI2O structure, from OQMD.

a b c (Å): 8.1952 8.1952 9.0813
angles (deg): 106.98 106.98 30.36
With the nearest neighbours (Å) after each atom.
Fractional coordinates of all 8 atoms:
I 0.1387 0.1525 0.0755  2 Pa 3.18
I 0.1353 0.1602 0.5795  2 Pa 3.16
I 0.8475 0.8613 0.9245  2 Pa 3.18
I 0.8398 0.8647 0.4205  2 Pa 3.16
O 0.4930 0.5045 0.7389  2 Pa 2.15
O 0.4955 0.5070 0.2611  2 Pa 2.15
Pa 0.9932 0.0050 0.7467  2 O 2.15
Pa 0.9950 0.0068 0.2533  2 O 2.15



(2)
The following is a PBE-GGA calculation of a geometry-optimized PaI2O structure, from OQMD.

a b c (Å): 3.9731 3.9731 9.3147
angles (deg): 102.31 102.31 60.00
With the nearest neighbours (Å) after each atom.
Fractional coordinates of all 4 atoms:
O 0.1012 0.1012 0.8294  3 Pa 2.29
I 0.5231 0.5231 0.0952  3 O 3.32, 3 Pa 3.32
I 0.3459 0.3459 0.5635  3 Pa 3.32, 3 O 3.32
Pa 0.7679 0.7679 0.8294  3 O 2.29



Most stable: (2)



(1)
The following is a PBE-GGA calculation of a geometry-optimized SmI3O9 structure, from OQMD.

a b c (Å): 13.2875 8.2921 7.1490
angles (deg): 90.00 100.44 90.00
With the nearest neighbours (Å) after each atom.
Fractional coordinates of all 52 atoms:
O 0.7316 0.0278 0.3489  1 I 1.84
O 0.3245 0.6817 0.1377  1 I 1.84
O 0.1148 0.4791 0.9781  1 I 1.83
O 0.4737 0.9375 0.6732  1 I 1.83
O 0.9786 0.1669 0.0392  1 I 1.83
O 0.3732 0.6766 0.5216  1 I 1.81
O 0.9737 0.5625 0.6732  1 I 1.83
O 0.6719 0.7929 0.7415  1 I 1.84
O 0.3852 0.9791 0.0219  1 I 1.83
O 0.2316 0.4722 0.3489  1 I 1.84
O 0.8852 0.5209 0.0219  1 I 1.83
O 0.5263 0.0625 0.3268  1 I 1.83
O 0.8732 0.8234 0.5216  1 I 1.81
O 0.0263 0.4375 0.3268  1 I 1.83
O 0.4591 0.3306 0.6423  1 I 1.83
O 0.2684 0.9722 0.6511  1 I 1.84
O 0.0409 0.8306 0.3577  1 I 1.83
O 0.5409 0.6694 0.3577  1 I 1.83
O 0.6915 0.5371 0.1797  1 I 1.83
O 0.7684 0.5278 0.6511  1 I 1.84
O 0.8245 0.8183 0.1377  1 I 1.84
O 0.1719 0.7071 0.7415  1 I 1.84
O 0.6755 0.3183 0.8623  1 I 1.84
O 0.3085 0.4629 0.8203  1 I 1.83
O 0.9591 0.1694 0.6423  1 I 1.83
O 0.8281 0.2929 0.2585  1 I 1.84
O 0.3281 0.2071 0.2585  1 I 1.84
O 0.6148 0.0209 0.9781  1 I 1.83
O 0.1915 0.9629 0.1797  1 I 1.83
O 0.1755 0.1817 0.8623  1 I 1.84
O 0.6268 0.3234 0.4784  1 I 1.81
O 0.1268 0.1766 0.4784  1 I 1.81
O 0.5214 0.6669 0.9608  1 I 1.83
O 0.8085 0.0371 0.8203  1 I 1.83
O 0.0214 0.8331 0.9608  1 I 1.83
O 0.4786 0.3331 0.0392  1 I 1.83
I 0.3622 0.5329 0.3289  3 O 1.81-1.84
I 0.6142 0.7210 0.1724  3 O 1.83
I 0.6378 0.4671 0.6711  3 O 1.81-1.84
I 0.3908 0.0079 0.2780  3 O 1.83-1.84
I 0.3858 0.2790 0.8276  3 O 1.83
I 0.6092 0.9921 0.7220  3 O 1.83-1.84
I 0.8858 0.2210 0.8277  3 O 1.83
I 0.1092 0.5079 0.7220  3 O 1.83-1.84
I 0.8622 0.9671 0.3289  3 O 1.81-1.84
I 0.1142 0.7790 0.1724  3 O 1.83
I 0.8908 0.4921 0.2780  3 O 1.83-1.84
I 0.1378 0.0329 0.6711  3 O 1.81-1.84
Sm 0.3564 0.7529 0.8211  8 O 2.28-2.55
Sm 0.8564 0.7471 0.8211  8 O 2.28-2.55
Sm 0.6436 0.2471 0.1789  8 O 2.28-2.55
Sm 0.1436 0.2529 0.1789  8 O 2.28-2.55



(2)
The following is a PBE-GGA calculation of a geometry-optimized SmI3O9 structure, from OQMD.

a b c (Å): 4.9976 9.7550 9.7550
angles (deg): 60.00 90.00 90.00
With the nearest neighbours (Å) after each atom.
Fractional coordinates of all 26 atoms:
I 0.3100 0.3283 0.9728  3 O 1.80-1.87
I 0.3100 0.6988 0.3283  3 O 1.80-1.87
I 0.8100 0.6717 0.0271  3 O 1.80-1.87
I 0.8101 0.3012 0.6717  3 O 1.80-1.87
I 0.8101 0.0271 0.3011  3 O 1.80-1.87
I 0.3100 0.9729 0.6988  3 O 1.80-1.87
O 0.9777 0.8328 0.4326  1 I 1.87
O 0.9777 0.4326 0.7346  1 I 1.87
O 0.9777 0.7346 0.8328  1 I 1.87
O 0.4777 0.1672 0.5674  1 I 1.87
O 0.0156 0.1286 0.7802  1 I 1.80
O 0.4777 0.2654 0.1672  1 I 1.87
O 0.4777 0.5674 0.2654  1 I 1.87
O 0.0156 0.0912 0.1286  1 I 1.80
O 0.9755 0.1260 0.3988  1 I 1.85
O 0.5157 0.2197 0.9088  1 I 1.80
O 0.0157 0.7802 0.0912  1 I 1.80
O 0.5157 0.9088 0.8714  1 I 1.80
O 0.4755 0.6012 0.5248  1 I 1.85
O 0.4755 0.5248 0.8740  1 I 1.85
O 0.9755 0.3988 0.4752  1 I 1.85
O 0.4755 0.8740 0.6012  1 I 1.85
O 0.5157 0.8714 0.2198  1 I 1.80
O 0.9755 0.4752 0.1260  1 I 1.85
Sm 0.2616 0.3333 0.3333  6 O 2.29-2.30
Sm 0.7616 0.6667 0.6667  6 O 2.29-2.30



Most stable: (1)